Computed, not measured: an optimized crystal structure of Tb2YHf at the PBE-GGA level of DFT.

POSCAR file:
```
Tb2YHf
1.0
1.7256 0.9963 11.2341
-1.7256 0.9963 11.2341
0.0000 -1.9925 11.2341
Tb Y Hf
2 1 1
Cartesian
0.0000 0.0000 0.0000 Tb
0.0000 0.0000 5.9896 Tb
0.0000 0.0000 14.2247 Y
0.0000 0.0000 19.8429 Hf
```

Results
Calculated total energy: -25.2 eV per formula unit
ΔE to the lowest computed polymorph: 0.000 eV per atom
Volume: 116 Å³/f.u.
ΔE_f: 0.121 eV/atom
SG: No. 160